# MoAs2SeO

MoAs2SeO after structural relaxation (GGA+U, Alexandria).

Cell lengths 4.309, 4.309, 4.752 Å; angles 90.00, 90.00, 90.00 degrees
Atoms (fractional coordinates):
O: 0.000 0.000 0.000
Mo: 0.500 0.500 0.500
As: 0.000 0.500 0.000
As: 0.500 0.000 0.000
Se: 0.000 0.000 0.500

Space-group type: No. 123
Excess energy over the best structure of this formula in the dataset in meV per atom: 0.0
Total moment in μB/atom: 0.58